{"formula": "Nd19Sm4Ho6", "functional": "PBE", "state": "optimized geometry", "total_magnetization_mub_per_fu": 0.0, "space_group": "I23", "volume_a3_per_cell": 1031, "formation_energy_ev_per_atom": 0.3627, "cell": [[-6.3631, 6.3631, 6.3631], [6.3631, -6.3631, 6.3631], [6.3631, 6.3631, -6.3631]], "species": ["Nd", "Nd", "Nd", "Nd", "Nd", "Nd", "Nd", "Nd", "Nd", "Nd", "Nd", "Nd", "Nd", "Nd", "Nd", "Nd", "Nd", "Nd", "Nd", "Sm", "Sm", "Sm", "Sm", "Ho", "Ho", "Ho", "Ho", "Ho", "Ho"], "frac_coords": [[0.0000, 0.0000, 0.0000], [0.0000, 0.2598, 0.2598], [0.0000, 0.7402, 0.7402], [0.0185, 0.2208, 0.6763], [0.2023, 0.9815, 0.6578], [0.2208, 0.6763, 0.0185], [0.2598, 0.0000, 0.2598], [0.2598, 0.2598, 0.0000], [0.3237, 0.5445, 0.3422], [0.3422, 0.3237, 0.5445], [0.4555, 0.7792, 0.7977], [0.5445, 0.3422, 0.3237], [0.6578, 0.2023, 0.9815], [0.6763, 0.0185, 0.2208], [0.7402, 0.0000, 0.7402], [0.7402, 0.7402, 0.0000], [0.7792, 0.7977, 0.4555], [0.7977, 0.4555, 0.7792], [0.9815, 0.6578, 0.2023], [0.0000, 0.0000, 0.3634], [0.0000, 0.3634, 0.0000], [0.3634, 0.0000, 0.0000], [0.6366, 0.6366, 0.6366], [0.1239, 0.5000, 0.6239], [0.3761, 0.8761, 0.5000], [0.5000, 0.3761, 0.8761], [0.5000, 0.6239, 0.1239], [0.6239, 0.1239, 0.5000], [0.8761, 0.5000, 0.3761]]}

=====

{"formula": "Nd2Sm2Ho3", "functional": "PBE", "state": "optimized geometry", "total_magnetization_mub_per_fu": 0.0, "space_group": "C2/m", "e_above_lowest_polymorph_mev_per_atom": 114, "volume_a3_per_cell": 234, "formation_energy_ev_per_atom": 0.1307, "cell": [[8.4467, -1.7563, 0.0000], [8.4467, 1.7563, 0.0000], [-3.9219, 0.0000, 7.8812]], "species": ["Nd", "Nd", "Sm", "Sm", "Ho", "Ho", "Ho"], "frac_coords": [[0.0797, 0.0797, 0.2043], [0.9203, 0.9203, 0.7957], [0.3611, 0.3611, 0.0930], [0.6389, 0.6389, 0.9070], [0.0000, 0.0000, 0.5000], [0.2205, 0.2205, 0.6450], [0.7795, 0.7795, 0.3550]]}

=====

{"formula": "NdSm9Ho2", "functional": "PBE", "state": "optimized geometry", "total_magnetization_mub_per_fu": 0.0, "space_group": "P4/mmm", "e_above_lowest_polymorph_mev_per_atom": 0, "volume_a3_per_cell": 400, "formation_energy_ev_per_atom": 0.0187, "cell": [[5.1088, 0.0000, 0.0000], [0.0000, 5.1088, 0.0000], [0.0000, 0.0000, 15.3370]], "species": ["Nd", "Sm", "Sm", "Sm", "Sm", "Sm", "Sm", "Sm", "Sm", "Sm", "Ho", "Ho"], "frac_coords": [[0.0000, 0.0000, 0.0000], [0.0000, 0.5000, 0.1689], [0.0000, 0.5000, 0.5000], [0.0000, 0.5000, 0.8311], [0.5000, 0.0000, 0.1689], [0.5000, 0.0000, 0.5000], [0.5000, 0.0000, 0.8311], [0.5000, 0.5000, 0.0000], [0.5000, 0.5000, 0.3350], [0.5000, 0.5000, 0.6650], [0.0000, 0.0000, 0.3345], [0.0000, 0.0000, 0.6655]]}

=====

{"formula": "Nd8SmHo3", "functional": "PBE", "state": "optimized geometry", "total_magnetization_mub_per_fu": 0.0, "space_group": "P1", "volume_a3_per_cell": 408, "formation_energy_ev_per_atom": 0.0164, "cell": [[6.2872, 0.0000, 0.0000], [-1.0388, 6.2145, 0.0000], [-0.0344, -3.1607, 10.4422]], "species": ["Nd", "Nd", "Nd", "Nd", "Nd", "Nd", "Nd", "Nd", "Sm", "Ho", "Ho", "Ho"], "frac_coords": [[0.0000, 0.0000, 0.0000], [0.0013, 0.9976, 0.3319], [0.2489, 0.5000, 0.5840], [0.4991, 0.9967, 0.4998], [0.7474, 0.4993, 0.7514], [0.7493, 0.4965, 0.4139], [0.7501, 0.4956, 0.0813], [0.9984, 0.0016, 0.6696], [0.4981, 0.9942, 0.1639], [0.2507, 0.4969, 0.2471], [0.2509, 0.5000, 0.9176], [0.4968, 0.9986, 0.8346]]}

=====

Which formula does entry 1 have? Nd19Sm4Ho6